Entry one
GaNi3Pt: optimized geometry, PBE-GGA.

```
10
Lattice="-0.006 1.027 -5.085 1.040 -5.220 -1.055 -5.423 0.188 0.045" Properties=species:S:1:pos:R:3 pbc="T T T"
Ni -1.373 -0.879 -4.145
Ni -3.718 -0.472 -4.060
Ni -3.016 -3.127 -1.951
Ni -0.671 -3.533 -2.036
Ni -2.941 -2.679 -4.507
Ni -1.448 -1.327 -1.589
Pt -0.003 0.513 -2.543
Pt 0.000 0.000 0.000
Ga -3.768 -0.941 -1.509
Ga -0.621 -3.064 -4.587
```

Entry two
GaNi3Pt: optimized geometry, PBE-GGA.

```
5
Lattice="-1.299 1.511 -3.759 0.298 -3.901 -1.671 -4.040 -0.773 1.085" Properties=species:S:1:pos:R:3 pbc="T T T"
Pt -2.521 -1.581 -2.172
Ni -0.649 0.755 -1.879
Ni -2.020 -0.387 0.543
Ni 0.149 -1.950 -0.835
Ga 0.000 0.000 0.000
```

Which of them is the least stable? Correct choice: entry two.

Entry one
GaNi3Pt4: optimized geometry, PBE-GGA.

```
8
Lattice="-2.136 -3.099 -1.070 3.227 -2.213 -0.036 -1.608 0.995 7.486" Properties=species:S:1:pos:R:3 pbc="T T T"
Ni -1.603 -2.383 2.948
Ni 1.085 -1.933 3.433
Ni 1.613 -1.106 -0.018
Pt -0.250 -3.898 4.633
Pt -0.267 -0.419 1.747
Pt -0.795 -1.242 5.186
Pt 0.278 -3.074 1.195
Ga -1.068 -1.549 -0.535
```

Entry two
GaNi3Pt4: optimized geometry, PBE-GGA.

```
8
Lattice="3.869 0.000 0.000 0.000 2.599 -0.883 -1.934 -3.017 12.591" Properties=species:S:1:pos:R:3 pbc="T T T"
Pt 0.000 0.693 2.032
Pt 0.000 -0.288 7.840
Pt 1.934 -1.111 9.675
Pt 1.934 -0.130 3.868
Ni 0.000 1.300 -0.442
Ni 1.934 0.635 6.284
Ni 0.000 -1.053 5.423
Ga 1.934 0.000 0.000
```

Which of them is the least stable? Correct choice: entry two.

Entry one
Ga2Ni3Pt: optimized geometry, PBE-GGA.

```
12
Lattice="3.806 0.000 -0.001 0.000 7.141 0.000 -1.905 -3.571 5.648" Properties=species:S:1:pos:R:3 pbc="T T T"
Ni 1.903 5.356 -0.001
Ni -0.001 1.785 1.966
Ni 1.903 1.785 0.000
Ni 1.903 1.785 3.681
Ni -0.001 5.356 1.966
Ni 1.903 -1.785 3.681
Pt 0.000 3.570 0.000
Pt 0.000 0.000 0.000
Ga 1.902 0.000 1.811
Ga 1.903 3.570 1.811
Ga -0.001 0.000 3.836
Ga -0.001 3.570 3.836
```

Entry two
Ga2Ni3Pt: optimized geometry, PBE-GGA.

```
24
Lattice="-4.048 6.668 -0.182 0.264 -0.053 -7.799 -2.533 -5.998 3.859" Properties=species:S:1:pos:R:3 pbc="T T T"
Ni -2.788 4.704 -2.408
Ni -2.174 -3.711 -3.952
Ni -3.450 0.615 1.501
Ni -1.040 -0.686 -1.983
Ni -0.908 -0.712 -5.882
Ni -5.023 3.364 -1.815
Ni -1.106 1.933 -2.332
Ni -2.678 4.682 -5.649
Ni -3.340 0.593 -1.740
Ni -0.996 1.911 -5.573
Ni -5.133 3.386 1.425
Ni -4.199 -0.377 -4.044
Ga -4.475 4.635 -4.087
Ga -4.223 4.895 -0.176
Ga -5.451 1.183 -2.671
Ga -1.905 0.402 -3.971
Ga -3.043 -1.917 -2.568
Ga -3.210 -1.884 2.382
Ga -1.653 0.662 -0.061
Ga -5.619 1.217 2.280
Pt -2.699 2.924 -0.111
Pt -3.430 2.373 -4.036
Pt -2.887 -1.755 -0.086
Pt -5.775 1.054 -0.203
```

Which of them is the least stable? Correct choice: entry two.

Entry one
Ga2Ni2Pt7: optimized geometry, PBE-GGA.

```
11
Lattice="5.713 -0.003 -0.081 0.002 5.781 0.003 -0.436 -0.002 5.697" Properties=species:S:1:pos:R:3 pbc="T T T"
Ni 3.974 -0.002 1.554
Ni 1.306 5.778 4.065
Ga 1.055 2.890 1.123
Ga 4.225 2.887 4.497
Pt -0.218 1.502 2.850
Pt 5.497 4.275 2.769
Pt 2.640 4.200 2.810
Pt 0.000 0.000 0.000
Pt 2.639 1.577 2.809
Pt 2.859 4.277 -0.038
Pt 2.420 1.499 5.657
```

Entry two
Ga2Ni2Pt7: optimized geometry, PBE-GGA.

```
11
Lattice="5.461 -0.474 -0.230 -0.612 6.247 0.544 -0.867 0.474 5.397" Properties=species:S:1:pos:R:3 pbc="T T T"
Ga 0.365 6.139 4.302
Ga 3.618 0.108 1.409
Ni 3.520 3.124 4.574
Ni 0.463 3.124 1.137
Pt 2.673 4.184 0.419
Pt 2.243 1.803 2.631
Pt -0.508 2.063 3.248
Pt 4.491 4.184 2.463
Pt 1.739 4.444 3.080
Pt 1.309 2.063 5.292
Pt 0.000 0.000 0.000
```

Which of them is the least stable? Correct choice: entry one.

Entry one
RbGa3Ni: optimized geometry, PBE-GGA.

```
5
Lattice="4.817 0.000 0.000 0.000 4.817 0.000 0.000 0.000 4.817" Properties=species:S:1:pos:R:3 pbc="T T T"
Ga 2.409 0.000 0.000
Ga 0.000 2.409 0.000
Ga 0.000 0.000 2.409
Rb 2.409 2.409 2.409
Ni 0.000 0.000 0.000
```

Entry two
RbGa3Ni: optimized geometry, PBE-GGA.

```
5
Lattice="5.825 0.000 0.000 0.000 5.825 0.000 0.000 0.000 5.825" Properties=species:S:1:pos:R:3 pbc="T T T"
Ni 2.913 2.913 2.913
Ga 0.000 0.000 2.913
Ga 0.000 2.913 0.000
Ga 2.913 0.000 0.000
Rb 0.000 0.000 0.000
```

Which of them is the least stable? Correct choice: entry two.

Entry one
RbTi2GaNi: optimized geometry, PBE-GGA.

```
5
Lattice="4.761 0.000 0.000 0.000 4.514 0.000 0.000 0.000 4.761" Properties=species:S:1:pos:R:3 pbc="T T T"
Rb 0.000 0.000 0.000
Ti 2.380 0.000 0.000
Ti 0.000 0.000 2.380
Ni 0.000 2.257 0.000
Ga 2.380 2.257 2.380
```

Entry two
RbTi2GaNi: optimized geometry, PBE-GGA.

```
5
Lattice="-2.719 3.557 -1.939 -3.328 -3.144 -1.101 -2.126 0.735 4.330" Properties=species:S:1:pos:R:3 pbc="T T T"
Ti -1.360 1.779 -0.969
Ti -1.063 0.367 2.165
Ga -1.664 -1.572 -0.550
Rb -4.087 0.574 0.645
Ni 0.000 0.000 0.000
```

Which of them is the least stable? Correct choice: entry one.